First-principles (PBE-GGA) data for Sm6US8 after structural relaxation, as listed in the Alexandria database.

Values from the calculation:
Crystal system: cubic

```
data_Sm6US8
_chemical_formula_sum 'Sm24 U4 S32'
_cell_length_a 11.3045
_cell_length_b 11.3045
_cell_length_c 11.3045
_cell_angle_alpha 90.00
_cell_angle_beta 90.00
_cell_angle_gamma 90.00
_space_group_name_H-M_alt 'F m -3 m'
_space_group_IT_number 225
_space_group_name_Hall '-F 4 2 3'
loop_
_atom_site_label
_atom_site_fract_x
_atom_site_fract_y
_atom_site_fract_z
_atom_site_occupancy
Sm1 0.0000 0.2500 0.2500 1
U1 0.0000 0.0000 0.0000 1
S1 0.0000 0.0000 0.2465 1
S2 0.2500 0.2500 0.2500 1
```


First-principles (PBE-GGA) data for SmVS2 after structural relaxation, as listed in the Alexandria database.

Values from the calculation:
Crystal system: trigonal

```
data_SmVS2
_chemical_formula_sum 'Sm3 V3 S6'
_cell_length_a 3.6541
_cell_length_b 3.6541
_cell_length_c 24.0528
_cell_angle_alpha 90.00
_cell_angle_beta 90.00
_cell_angle_gamma 120.00
_space_group_name_H-M_alt 'R -3 m'
_space_group_IT_number 166
_space_group_name_Hall '-R 3 2"'
loop_
_atom_site_label
_atom_site_fract_x
_atom_site_fract_y
_atom_site_fract_z
_atom_site_occupancy
Sm1 0.0000 0.0000 0.0000 1
V1 0.0000 0.0000 0.5000 1
S1 0.0000 0.0000 0.1133 1
```


First-principles (PBE-GGA) data for SmVS3 after structural relaxation, as listed in the Alexandria database.

Values from the calculation:
Crystal system: monoclinic

```
data_SmVS3
_chemical_formula_sum 'Sm2 V2 S6'
_cell_length_a 4.7297
_cell_length_b 4.6145
_cell_length_c 9.4996
_cell_angle_alpha 90.00
_cell_angle_beta 101.64
_cell_angle_gamma 90.00
_space_group_name_H-M_alt 'P 1 21/m 1'
_space_group_IT_number 11
loop_
_space_group_symop_operation_xyz
'x,y,z'
'-x,-y,-z'
'-x,y+1/2,-z'
'x,-y+1/2,z'
loop_
_atom_site_label
_atom_site_fract_x
_atom_site_fract_y
_atom_site_fract_z
_atom_site_occupancy
Sm1 0.0722 0.2500 0.3205 1
V1 0.4258 0.2500 0.8884 1
S1 0.0706 0.7500 0.1360 1
S2 0.2761 0.2500 0.6093 1
S3 0.4909 0.7500 0.8559 1
```


| no. | total DFT energy (no corrections) (eV/atom) |
| --- | --- |
| 1 | -6.764 |
| 2 | -6.327 |
| 3 | -6.574 |